# GGA+U MgV2O, optimized geometry
data_MgV2O
_chemical_formula_sum 'Mg1 V2 O1'
_symmetry_space_group_name_H-M 'P 1'
_symmetry_Int_Tables_number 1
_symmetry_space_group_name_Hall 'P 1'
_cell_length_a 4.537
_cell_length_b 4.537
_cell_length_c 4.537
_cell_angle_alpha 60.00
_cell_angle_beta 60.00
_cell_angle_gamma 60.00
loop_
_atom_site_label
_atom_site_type_symbol
_atom_site_fract_x
_atom_site_fract_y
_atom_site_fract_z
_atom_site_occupancy
Mg1 Mg 0.500 0.500 0.500 1
O1 O 0.000 0.000 0.000 1
V1 V 0.250 0.250 0.250 1
V2 V 0.750 0.750 0.750 1
# DFT total energy (eV/atom): -4.3800
# D(E_F) (states/eV/atom): 0.5488